This record from Alexandria describes a geometry-optimized Cs8HAu3Br4 structure. The functional is PBE-GGA.

Summary:
Volume (Å³/atom): 48.82
Magnetic moment (μB per formula unit): 0.1
Final energy (eV/atom): -2.690
Symmetry: No. 166
Density of states at the Fermi level (states/eV/cell): 0.000

a = 10.3477 Å, b = 10.3477 Å, c = 10.3477 Å
α = 59.87°, β = 59.87°, γ = 59.87°
Element x y z (fractional)
1 Cs 0.2410 0.7578 0.7578
2 Cs 0.2422 0.2422 0.7590
3 Cs 0.2422 0.7590 0.2422
4 Cs 0.2493 0.2493 0.2493
5 Cs 0.7507 0.7507 0.7507
6 Cs 0.7578 0.2410 0.7578
7 Cs 0.7578 0.7578 0.2410
8 Cs 0.7590 0.2422 0.2422
9 H 0.0000 0.0000 0.0000
10 Au 0.0000 0.5000 0.5000
11 Au 0.5000 0.0000 0.5000
12 Au 0.5000 0.5000 0.0000
13 Br 0.0000 0.0000 0.5000
14 Br 0.0000 0.5000 0.0000
15 Br 0.5000 0.0000 0.0000
16 Br 0.5000 0.5000 0.5000

***

This record from Alexandria describes a geometry-optimized Cs6H3AuBr2 structure. The functional is PBE-GGA.

Summary:
Volume (Å³/atom): 41.38
Magnetic moment (μB per formula unit): 0.1
Final energy (eV/atom): -2.532
Symmetry: No. 12
Density of states at the Fermi level (states/eV/cell): 0.000

a = 10.9767 Å, b = 10.9767 Å, c = 9.8476 Å
α = 103.79°, β = 103.79°, γ = 25.57°
Element x y z (fractional)
1 Cs 0.0072 0.0072 0.2309
2 Cs 0.3259 0.3259 0.4342
3 Cs 0.3400 0.3400 0.8996
4 Cs 0.6600 0.6600 0.1004
5 Cs 0.6741 0.6741 0.5658
6 Cs 0.9928 0.9928 0.7691
7 H 0.1675 0.1675 0.3322
8 H 0.5000 0.5000 0.0000
9 H 0.8325 0.8325 0.6678
10 Au 0.5000 0.5000 0.5000
11 Br 0.1663 0.1663 0.8325
12 Br 0.8337 0.8337 0.1675

***

This record from Alexandria describes a geometry-optimized Cs2HfAuBr6 structure. The functional is PBE-GGA.

Summary:
Volume (Å³/atom): 38.63
Magnetic moment (μB per formula unit): 0.0
Final energy (eV/atom): -3.737
E_form (uncorrected) (kJ/mol of formula units): -1196
Symmetry: No. 139
Density of states at the Fermi level (states/eV/cell): 3.721

a = 8.0801 Å, b = 8.0801 Å, c = 8.0801 Å
α = 117.42°, β = 117.42°, γ = 94.53°
Element x y z (fractional)
1 Cs 0.2500 0.7500 0.5000
2 Cs 0.7500 0.2500 0.5000
3 Hf 0.0000 0.0000 0.0000
4 Au 0.5000 0.5000 0.0000
5 Br 0.2216 0.2216 0.4431
6 Br 0.2216 0.7784 0.0000
7 Br 0.2428 0.2428 0.0000
8 Br 0.7572 0.7572 0.0000
9 Br 0.7784 0.2216 0.0000
10 Br 0.7784 0.7784 0.5569

***

This record from Alexandria describes a geometry-optimized CsHg2AuBr structure. The functional is PBE-GGA.

Summary:
Volume (Å³/atom): 42.00
ΔE to the lowest computed polymorph (eV/atom): 0.000
Magnetic moment (μB per formula unit): 0.0
Final energy (eV/atom): -1.836
E_form (uncorrected) (kJ/mol of formula units): -267
Symmetry: No. 123
Density of states at the Fermi level (states/eV/cell): 2.882

a = 5.3985 Å, b = 5.3985 Å, c = 7.2057 Å
α = 90.00°, β = 90.00°, γ = 90.00°
Element x y z (fractional)
1 Cs 0.0000 0.0000 0.0000
2 Hg 0.0000 0.5000 0.5000
3 Hg 0.5000 0.0000 0.5000
4 Au 0.0000 0.0000 0.5000
5 Br 0.5000 0.5000 0.0000

***

This record from Alexandria describes a geometry-optimized CsHg2AuBr structure. The functional is PBE-GGA.

Summary:
Volume (Å³/atom): 41.87
ΔE to the lowest computed polymorph (eV/atom): 0.030
Magnetic moment (μB per formula unit): 0.0
Final energy (eV/atom): -1.806
E_form (uncorrected) (kJ/mol of formula units): -253
Symmetry: No. 123
Density of states at the Fermi level (states/eV/cell): 2.832

a = 5.3720 Å, b = 5.3720 Å, c = 7.2538 Å
α = 90.00°, β = 90.00°, γ = 90.00°
Element x y z (fractional)
1 Cs 0.0000 0.0000 0.0000
2 Hg 0.0000 0.5000 0.5000
3 Hg 0.5000 0.0000 0.5000
4 Au 0.5000 0.5000 0.5000
5 Br 0.5000 0.5000 0.0000

***

This record from Alexandria describes a geometry-optimized CsHgAuBr2 structure. The functional is PBE-GGA.

Summary:
Volume (Å³/atom): 35.73
Magnetic moment (μB per formula unit): 0.0
Final energy (eV/atom): -2.251
E_form (uncorrected) (kJ/mol of formula units): -336
Symmetry: No. 123
Density of states at the Fermi level (states/eV/cell): 1.335

a = 5.7368 Å, b = 5.7368 Å, c = 5.4290 Å
α = 90.00°, β = 90.00°, γ = 90.00°
Element x y z (fractional)
1 Cs 0.0000 0.0000 0.0000
2 Hg 0.5000 0.5000 0.0000
3 Au 0.5000 0.5000 0.5000
4 Br 0.0000 0.5000 0.5000
5 Br 0.5000 0.0000 0.5000

***

This record from Alexandria describes a geometry-optimized Cs2HgAuBr structure. The functional is PBE-GGA.

Summary:
Volume (Å³/atom): 49.96
Magnetic moment (μB per formula unit): 0.0
Final energy (eV/atom): -2.136
E_form (uncorrected) (kJ/mol of formula units): -359
Symmetry: No. 123
Density of states at the Fermi level (states/eV/cell): 1.577

a = 6.8053 Å, b = 6.8053 Å, c = 5.3942 Å
α = 90.00°, β = 90.00°, γ = 90.00°
Element x y z (fractional)
1 Cs 0.0000 0.5000 0.0000
2 Cs 0.5000 0.0000 0.0000
3 Hg 0.0000 0.0000 0.5000
4 Au 0.0000 0.0000 0.0000
5 Br 0.5000 0.5000 0.5000

***

This record from Alexandria describes a geometry-optimized Cs4HgAu2Br structure. The functional is PBE-GGA.

Summary:
Volume (Å³/atom): 52.36
Magnetic moment (μB per formula unit): 0.0
Final energy (eV/atom): -2.106
E_form (uncorrected) (kJ/mol of formula units): -473
Symmetry: No. 10
Density of states at the Fermi level (states/eV/cell): 3.705

a = 9.1955 Å, b = 5.1515 Å, c = 9.3074 Å
α = 90.00°, β = 108.18°, γ = 90.00°
Element x y z (fractional)
1 Cs 0.2317 0.0000 0.2273
2 Cs 0.2410 0.5000 0.7590
3 Cs 0.7590 0.5000 0.2410
4 Cs 0.7683 0.0000 0.7727
5 Hg 0.5000 0.5000 0.5000
6 Au 0.0000 0.0000 0.5000
7 Au 0.0000 0.5000 0.0000
8 Br 0.5000 0.0000 0.0000